# 1
Material: YTlRe2
Method: DFT, PBE-GGA
State: relaxed

Cell and atoms, written as POSCAR:
```
YTlRe2
1.0
4.138 0.000 0.000
0.000 4.136 0.000
-0.006 0.000 4.476
Y Tl Re
1 1 2
direct
0.000 0.000 0.000
0.500 0.500 0.000
0.000 0.500 0.500
0.500 0.000 0.500
```

Energy = -31.0 eV per cell
Formation enthalpy at 0 K = 679.4 meV per atom
Total magnetic moment = 0.00 μB/cell
Excess energy over the best structure of this formula in the dataset = 52.7 kJ per mole of atoms
V = 19.15 A^3/atom



# 2
Material: YTlRe2
Method: DFT, PBE-GGA
State: relaxed

Cell and atoms, written as POSCAR:
```
YTlRe2
1.0
3.118 0.000 0.000
0.000 4.882 0.000
-0.203 0.000 5.547
Y Tl Re
1 1 2
direct
0.000 0.000 0.000
0.500 0.000 0.500
0.481 0.500 0.792
0.519 0.500 0.208
```

Energy = -31.4 eV per cell
Formation enthalpy at 0 K = 590.1 meV per atom
Total magnetic moment = 0.00 μB/cell
Excess energy over the best structure of this formula in the dataset = 44.1 kJ per mole of atoms
V = 21.11 A^3/atom



# 3
Material: Y2TlRe
Method: DFT, PBE-GGA
State: relaxed

Cell and atoms, written as POSCAR:
```
Y2TlRe
1.0
3.501 0.000 0.000
0.000 3.528 0.000
0.000 0.000 7.879
Y Tl Re
2 1 1
direct
0.000 0.000 0.210
0.000 0.000 0.790
0.500 0.500 0.500
0.500 0.500 0.000
```

Energy = -27.9 eV per cell
Formation enthalpy at 0 K = -40.0 meV per atom
Total magnetic moment = 0.00 μB/cell
Excess energy over the best structure of this formula in the dataset = 0.0 kJ per mole of atoms
V = 24.33 A^3/atom



# 4
Material: Y2TlRe
Method: DFT, PBE-GGA
State: relaxed

Cell and atoms, written as POSCAR:
```
Y2TlRe
1.0
3.877 0.000 0.000
0.000 3.877 0.000
0.000 0.000 6.447
Y Tl Re
2 1 1
direct
0.000 0.000 0.000
0.500 0.500 0.303
0.500 0.500 0.757
0.000 0.000 0.486
```

Energy = -26.2 eV per cell
Formation enthalpy at 0 K = 381.4 meV per atom
Total magnetic moment = 0.00 μB/cell
Excess energy over the best structure of this formula in the dataset = 40.7 kJ per mole of atoms
V = 24.22 A^3/atom



# 5
Material: YTlRe2
Method: DFT, PBE-GGA
State: relaxed

Cell and atoms, written as POSCAR:
```
YTlRe2
1.0
3.132 0.000 0.000
0.000 3.132 0.000
0.000 0.000 8.256
Y Tl Re
1 1 2
direct
0.000 0.000 0.000
0.500 0.500 0.687
0.000 0.000 0.421
0.500 0.500 0.257
```

Energy = -33.2 eV per cell
Formation enthalpy at 0 K = 133.3 meV per atom
Total magnetic moment = 0.00 μB/cell
Excess energy over the best structure of this formula in the dataset = 0.0 kJ per mole of atoms
V = 20.25 A^3/atom



# 6
Material: YTl3Re
Method: DFT, PBE-GGA
State: relaxed

Cell and atoms, written as POSCAR:
```
YTl3Re
1.0
5.286 0.000 0.000
0.000 5.286 0.000
0.000 0.000 5.286
Y Tl Re
1 3 1
direct
0.000 0.000 0.000
0.000 0.500 0.500
0.500 0.000 0.500
0.500 0.500 0.000
0.500 0.500 0.500
```

Energy = -22.6 eV per cell
Formation enthalpy at 0 K = 676.0 meV per atom
Total magnetic moment = 0.67 μB/cell
Excess energy over the best structure of this formula in the dataset = 0.0 kJ per mole of atoms
V = 29.54 A^3/atom



# 7
Material: YTlRe2
Method: DFT, PBE-GGA
State: relaxed

Cell and atoms, written as POSCAR:
```
YTlRe2
1.0
5.841 0.000 0.000
0.000 9.807 0.000
-1.282 0.000 2.666
Y Tl Re
2 2 4
direct
0.000 0.000 0.000
0.500 0.500 0.000
0.000 0.500 0.000
0.500 0.000 0.000
0.250 0.250 0.500
0.250 0.750 0.500
0.750 0.250 0.500
0.750 0.750 0.500
```

Energy = -61.6 eV per cell
Formation enthalpy at 0 K = 735.9 meV per atom
Total magnetic moment = 0.00 μB/cell
Excess energy over the best structure of this formula in the dataset = 58.1 kJ per mole of atoms
V = 19.09 A^3/atom



# 8
Material: YTlRe3
Method: DFT, PBE-GGA
State: relaxed

Cell and atoms, written as POSCAR:
```
YTlRe3
1.0
4.929 0.000 0.000
0.000 4.929 0.000
0.000 0.000 4.929
Y Tl Re
1 1 3
direct
0.000 0.000 0.000
0.500 0.500 0.500
0.000 0.000 0.500
0.000 0.500 0.000
0.500 0.000 0.000
```

Energy = -31.2 eV per cell
Formation enthalpy at 0 K = 2999.8 meV per atom
Total magnetic moment = 3.25 μB/cell
Excess energy over the best structure of this formula in the dataset = 44.8 kJ per mole of atoms
V = 23.95 A^3/atom



# 9
Material: YTlRe3
Method: DFT, PBE-GGA
State: relaxed

Cell and atoms, written as POSCAR:
```
YTlRe3
1.0
4.960 0.000 0.000
0.000 4.960 0.000
0.000 0.000 4.960
Y Tl Re
1 1 3
direct
0.000 0.000 0.000
0.500 0.500 0.500
0.000 0.500 0.500
0.500 0.000 0.500
0.500 0.500 0.000
```

Energy = -33.5 eV per cell
Formation enthalpy at 0 K = 2535.9 meV per atom
Total magnetic moment = 2.48 μB/cell
Excess energy over the best structure of this formula in the dataset = 0.0 kJ per mole of atoms
V = 24.40 A^3/atom



# 10
Material: YTl2Re
Method: DFT, PBE-GGA
State: relaxed

Cell and atoms, written as POSCAR:
```
YTl2Re
1.0
3.865 0.000 0.000
0.000 4.804 0.000
0.000 0.000 4.839
Y Tl Re
1 2 1
direct
0.000 0.000 0.000
0.000 0.500 0.500
0.500 0.500 0.000
0.500 0.000 0.500
```

Energy = -21.7 eV per cell
Formation enthalpy at 0 K = 492.0 meV per atom
Total magnetic moment = 0.00 μB/cell
Excess energy over the best structure of this formula in the dataset = 11.2 kJ per mole of atoms
V = 22.46 A^3/atom



# 11
Material: YTl2Re
Method: DFT, PBE-GGA
State: relaxed

Cell and atoms, written as POSCAR:
```
YTl2Re
1.0
3.428 0.000 0.000
0.000 5.309 0.000
0.000 0.000 10.077
Y Tl Re
2 4 2
direct
0.000 0.000 0.000
0.500 0.500 0.000
0.000 0.500 0.273
0.000 0.500 0.727
0.500 0.000 0.273
0.500 0.000 0.727
0.000 0.000 0.500
0.500 0.500 0.500
```

Energy = -41.9 eV per cell
Formation enthalpy at 0 K = 673.6 meV per atom
Total magnetic moment = 1.21 μB/cell
Excess energy over the best structure of this formula in the dataset = 28.8 kJ per mole of atoms
V = 22.93 A^3/atom



# 12
Material: YTl2Re
Method: DFT, PBE-GGA
State: relaxed

Cell and atoms, written as POSCAR:
```
YTl2Re
1.0
6.220 0.000 0.000
0.000 10.434 0.000
-1.801 0.000 2.875
Y Tl Re
2 4 2
direct
0.000 0.000 0.000
0.500 0.500 0.000
0.250 0.250 0.500
0.250 0.750 0.500
0.750 0.250 0.500
0.750 0.750 0.500
0.000 0.500 0.000
0.500 0.000 0.000
```

Energy = -42.5 eV per cell
Formation enthalpy at 0 K = 596.1 meV per atom
Total magnetic moment = 0.86 μB/cell
Excess energy over the best structure of this formula in the dataset = 21.3 kJ per mole of atoms
V = 23.33 A^3/atom



# 13
Material: YTl2Re
Method: DFT, PBE-GGA
State: relaxed

Cell and atoms, written as POSCAR:
```
YTl2Re
1.0
9.931 0.000 0.000
0.000 3.727 0.000
-1.628 0.000 4.909
Y Tl Re
2 4 2
direct
0.000 0.000 0.000
0.500 0.500 0.000
0.234 0.000 0.717
0.266 0.500 0.283
0.734 0.500 0.717
0.766 0.000 0.283
0.000 0.500 0.500
0.500 0.000 0.500
```

Energy = -44.3 eV per cell
Formation enthalpy at 0 K = 375.4 meV per atom
Total magnetic moment = 0.00 μB/cell
Excess energy over the best structure of this formula in the dataset = 0.0 kJ per mole of atoms
V = 22.71 A^3/atom



# 14
Material: YTlRe2
Method: DFT, PBE-GGA
State: relaxed

Cell and atoms, written as POSCAR:
```
YTlRe2
1.0
3.320 0.000 0.000
0.000 4.867 0.000
0.000 0.000 9.532
Y Tl Re
2 2 4
direct
0.000 0.000 0.000
0.500 0.500 0.000
0.000 0.000 0.500
0.500 0.500 0.500
0.000 0.500 0.251
0.000 0.500 0.749
0.500 0.000 0.251
0.500 0.000 0.749
```

Energy = -60.5 eV per cell
Formation enthalpy at 0 K = 869.7 meV per atom
Total magnetic moment = 0.00 μB/cell
Excess energy over the best structure of this formula in the dataset = 71.1 kJ per mole of atoms
V = 19.25 A^3/atom



# 15
Material: YTl2Re
Method: DFT, PBE-GGA
State: relaxed

Cell and atoms, written as POSCAR:
```
YTl2Re
1.0
3.262 0.000 0.000
-1.631 2.825 0.000
0.000 0.000 29.567
Y Tl Re
3 6 3
direct
0.000 0.000 0.000
0.333 0.667 0.667
0.667 0.333 0.333
0.000 0.000 0.242
0.000 0.000 0.758
0.333 0.667 0.425
0.333 0.667 0.908
0.667 0.333 0.092
0.667 0.333 0.575
0.000 0.000 0.500
0.333 0.667 0.167
0.667 0.333 0.833
```

Energy = -63.7 eV per cell
Formation enthalpy at 0 K = 605.5 meV per atom
Total magnetic moment = 0.00 μB/cell
Excess energy over the best structure of this formula in the dataset = 22.2 kJ per mole of atoms
V = 22.71 A^3/atom